# 1
A plane-wave DFT calculation with GGA-PBE was carried out for a relaxed Sr2MgAsS crystal.

## Properties
Space-group type: P4/mmm (123)
Calculated volume in Å³/atom: 30.90
Crystal system: tetragonal
E_form (uncorrected) in meV/atom: -862
Total moment in μB per cell: 0.00

Cell: 5.6481 4.8433 5.6481 Å, 90.00 90.00 90.00°
Positions (direct):
Mg (0.0000, 0.5000, 0.0000)
Sr (0.0000, 0.0000, 0.5000)
Sr (0.5000, 0.0000, 0.0000)
As (0.5000, 0.5000, 0.5000)
S (0.0000, 0.0000, 0.0000)

---

# 2
A plane-wave DFT calculation with GGA-PBE was carried out for a relaxed MgTl2AsS4 crystal.

## Properties
Space-group type: Pmn2_1 (31)
Calculated volume in Å³/atom: 28.41
Crystal system: orthorhombic
E_form (uncorrected) in meV/atom: -441
Total moment in μB per cell: 0.00

Cell: 6.1950 9.4182 7.7904 Å, 90.00 90.00 90.00°
Positions (direct):
Mg (0.9984, 0.1247, 0.5000)
Mg (0.4984, 0.8753, 0.0000)
Tl (0.4402, 0.3545, 0.2582)
Tl (0.4402, 0.3545, 0.7418)
Tl (0.9402, 0.6455, 0.7582)
Tl (0.9402, 0.6455, 0.2418)
As (0.5041, 0.8700, 0.5000)
As (0.0041, 0.1300, 0.0000)
S (0.3721, 0.1232, 0.0000)
S (0.8721, 0.8768, 0.5000)
S (0.4016, 0.1110, 0.5000)
S (0.9016, 0.8890, 0.0000)
S (0.4217, 0.7301, 0.7386)
S (0.9217, 0.2699, 0.2386)
S (0.9217, 0.2699, 0.7614)
S (0.4217, 0.7301, 0.2614)

---

# 3
A plane-wave DFT calculation with GGA-PBE was carried out for a relaxed MgSb2As crystal.

## Properties
Space-group type: R3m (160)
Calculated volume in Å³/atom: 25.56
Crystal system: trigonal
ΔE to the lowest computed polymorph in meV/atom: 12
E_form (uncorrected) in meV/atom: -81
Total moment in μB per cell: 0.00

Cell: 7.4968 7.4968 7.4968 Å, 31.52 31.52 31.52°
Positions (direct):
As (0.4958, 0.4958, 0.4958)
Mg (0.7603, 0.7603, 0.7603)
Sb (0.0002, 0.0002, 0.0002)
Sb (0.2437, 0.2437, 0.2437)

---

# 4
A plane-wave DFT calculation with GGA-PBE was carried out for a relaxed Mg2SbAs crystal.

## Properties
Space-group type: F-43m (216)
Calculated volume in Å³/atom: 22.64
Crystal system: cubic
ΔE to the lowest computed polymorph in meV/atom: 386
E_form (uncorrected) in meV/atom: 68
Total moment in μB per cell: 0.00

Cell: 5.0403 5.0403 5.0403 Å, 60.00 60.00 60.00°
Positions (direct):
As (0.5000, 0.5000, 0.5000)
Mg (0.0000, 0.0000, 0.0000)
Mg (0.2500, 0.2500, 0.2500)
Sb (0.7500, 0.7500, 0.7500)

---

# 5
A plane-wave DFT calculation with GGA-PBE was carried out for a relaxed Mg2SbAs crystal.

## Properties
Space-group type: Cmmm (65)
Calculated volume in Å³/atom: 22.00
Crystal system: orthorhombic
ΔE to the lowest computed polymorph in meV/atom: 154
E_form (uncorrected) in meV/atom: -164
Total moment in μB per cell: 0.00

Cell: 5.1152 5.1152 3.4380 Å, 90.00 90.00 101.93°
Positions (direct):
As (0.0000, 0.5000, 0.5000)
Mg (0.0000, 0.0000, 0.0000)
Mg (0.5000, 0.5000, 0.0000)
Sb (0.5000, 0.0000, 0.5000)

---

# 6
A plane-wave DFT calculation with GGA-PBE was carried out for a relaxed MgSb2As crystal.

## Properties
Space-group type: Immm (71)
Calculated volume in Å³/atom: 25.12
Crystal system: orthorhombic
ΔE to the lowest computed polymorph in meV/atom: 59
E_form (uncorrected) in meV/atom: -34
Total moment in μB per cell: 0.00

Cell: 7.0481 7.0481 4.0864 Å, 73.15 73.15 31.26°
Positions (direct):
As (0.7500, 0.7500, 0.7500)
Mg (0.2500, 0.2500, 0.2500)
Sb (0.0652, 0.0652, 0.9347)
Sb (0.4348, 0.4348, 0.5653)

---

# 7
A plane-wave DFT calculation with GGA-PBE was carried out for a relaxed MgSb2As crystal.

## Properties
Space-group type: R-3m (166)
Calculated volume in Å³/atom: 25.79
Crystal system: trigonal
ΔE to the lowest computed polymorph in meV/atom: 95
E_form (uncorrected) in meV/atom: 2
Total moment in μB per cell: 0.00

Cell: 7.8486 7.8486 7.8486 Å, 29.41 29.41 29.41°
Positions (direct):
As (0.2500, 0.2500, 0.2500)
Mg (0.7500, 0.7500, 0.7500)
Sb (0.9947, 0.9947, 0.9947)
Sb (0.5053, 0.5053, 0.5053)

---

# 8
A plane-wave DFT calculation with GGA-PBE was carried out for a relaxed Mg2SbAs crystal.

## Properties
Space-group type: Imm2 (44)
Calculated volume in Å³/atom: 23.85
Crystal system: orthorhombic
ΔE to the lowest computed polymorph in meV/atom: 54
E_form (uncorrected) in meV/atom: -264
Total moment in μB per cell: 0.00

Cell: 8.1050 8.1050 8.1050 Å, 157.08 152.57 36.04°
Positions (direct):
As (0.2063, 0.7063, 0.5000)
Mg (0.0626, 0.0626, 0.0000)
Mg (0.7855, 0.2855, 0.5000)
Sb (0.4456, 0.4456, 0.0000)